Entry 1:
GGA-PBE Rb2FeOsBr6, relaxed; symmetry = Fm-3m (225); theoretical density = 5.2 g/cm3; raw formation energy = -586 meV per atom; total magnetization = 4.01 μB/cell
1.0
7.407 0.000 0.000
0.000 7.407 0.000
3.704 3.704 5.239
Br Fe Rb Os
6 1 2 1
Cartesian
5.585 5.585 0.000 Br
1.822 1.822 0.000 Br
7.407 7.407 2.577 Br
1.822 5.585 0.000 Br
3.704 3.704 2.661 Br
5.585 1.822 0.000 Br
3.704 3.704 0.000 Fe
3.704 7.407 2.619 Rb
7.407 3.704 2.619 Rb
0.000 0.000 0.000 Os

Entry 2:
GGA-PBE FeOs2RuBr, relaxed; symmetry = P4/mmm (123); theoretical density = 11.4 g/cm3; raw formation energy = 2076 meV per atom; total magnetization = 1.92 μB/cell
1.0
-0.583 3.348 -2.848
-1.307 -2.956 -3.207
-4.207 0.406 1.340
Os Ru Fe Br
2 1 1 1
Cartesian
-2.104 0.203 0.670 Os
-0.292 1.674 -1.424 Os
-3.049 0.400 -2.358 Ru
0.000 0.000 0.000 Fe
-0.653 -1.478 -1.604 Br

Entry 3:
GGA-PBE FeOsSe2Br, relaxed; symmetry = P4/mmm (123); theoretical density = 8.4 g/cm3; raw formation energy = 1323 meV per atom; total magnetization = 0.00 μB/cell
1.0
-1.828 0.176 4.115
3.052 -2.965 1.483
2.900 3.553 1.136
Se Os Fe Br
2 1 1 1
Cartesian
-0.914 0.088 2.057 Se
1.526 -1.483 0.742 Se
2.062 0.382 3.367 Os
0.000 0.000 0.000 Fe
1.450 1.777 0.568 Br

Entry 4:
GGA-PBE FeOsSeBr2, relaxed; symmetry = P4/mmm (123); theoretical density = 6.3 g/cm3; raw formation energy = 933 meV per atom; total magnetization = 3.93 μB/cell
1.0
-0.766 4.313 -2.875
-5.182 -0.589 0.496
0.076 2.595 3.871
Se Br Fe Os
1 2 1 1
Cartesian
0.038 1.297 1.936 Se
-0.383 2.156 -1.438 Br
-2.591 -0.295 0.248 Br
-2.936 3.159 0.746 Fe
0.000 0.000 0.000 Os

Entry 5:
GGA-PBE Ta2FeOsBr, relaxed; symmetry = P4/mmm (123); theoretical density = 12.7 g/cm3; raw formation energy = 1555 meV per atom; total magnetization = 0.82 μB/cell
1.0
4.683 0.000 0.000
0.000 4.115 0.000
0.000 0.000 4.683
Ta Fe Br Os
2 1 1 1
Cartesian
0.000 0.000 2.341 Ta
2.341 0.000 0.000 Ta
0.000 2.057 0.000 Fe
0.000 0.000 0.000 Br
2.341 2.057 2.341 Os

Entry 6:
GGA-PBE VFe2OsBr, relaxed; symmetry = P4/mmm (123); theoretical density = 6.8 g/cm3; raw formation energy = 1206 meV per atom; total magnetization = 4.97 μB/cell
1.0
4.754 0.000 0.000
0.000 4.661 0.000
0.000 0.000 4.754
Os Br Fe V
1 1 2 1
Cartesian
0.000 0.000 0.000 Os
2.377 2.330 2.377 Br
2.377 0.000 0.000 Fe
0.000 0.000 2.377 Fe
0.000 2.330 0.000 V

Entry 7:
GGA-PBE ZrFeOs2Br, relaxed; symmetry = P4/mmm (123); theoretical density = 8.2 g/cm3; raw formation energy = 2334 meV per atom; total magnetization = 2.39 μB/cell
1.0
4.923 0.000 0.000
0.000 5.093 0.000
0.000 0.000 4.923
Zr Fe Br Os
1 1 1 2
Cartesian
0.000 0.000 0.000 Zr
2.461 2.546 2.461 Fe
0.000 2.546 0.000 Br
2.461 0.000 0.000 Os
0.000 0.000 2.461 Os

Entry 8:
GGA-PBE Fe3PBr, relaxed; energy above the most stable polymorph in this dataset = 386 kJ/mol of formula units; symmetry = Pm-3m (221); theoretical density = 5.3 g/cm3; raw formation energy = 1328 meV per atom; total magnetization = 7.97 μB/cell
1.0
-3.357 0.746 2.811
1.345 -3.409 2.510
2.579 2.748 2.351
Br Fe P
1 3 1
Cartesian
0.000 0.000 0.000 Br
-1.679 0.373 1.406 Fe
0.672 -1.704 1.255 Fe
1.289 1.374 1.175 Fe
0.283 0.043 3.836 P

Entry 9:
GGA-PBE FePBr3, relaxed; energy above the most stable polymorph in this dataset = 0 kJ/mol of formula units; symmetry = Pm-3m (221); theoretical density = 4.0 g/cm3; raw formation energy = 624 meV per atom; total magnetization = 4.30 μB/cell
1.0
5.157 0.000 0.000
0.000 5.157 0.000
0.000 0.000 5.157
Br P Fe
3 1 1
Cartesian
2.579 0.000 0.000 Br
0.000 2.579 0.000 Br
0.000 0.000 2.579 Br
0.000 0.000 0.000 P
2.579 2.579 2.579 Fe

Entry 10:
GGA-PBE Fe2PBr, relaxed; energy above the most stable polymorph in this dataset = 418 kJ/mol of formula units; symmetry = F-43m (216); theoretical density = 5.9 g/cm3; raw formation energy = 946 meV per atom; total magnetization = 6.01 μB/cell
1.0
4.465 0.000 0.000
2.232 3.866 0.000
2.232 1.289 3.645
Br P Fe
1 1 2
Cartesian
4.465 2.578 1.823 Br
6.697 3.866 2.734 P
0.000 0.000 0.000 Fe
2.232 1.289 0.911 Fe

Entry 11:
GGA-PBE FePBr, relaxed; energy above the most stable polymorph in this dataset = 107 kJ/mol of formula units; symmetry = I4mm (107); theoretical density = 4.9 g/cm3; raw formation energy = 308 meV per atom; total magnetization = 2.09 μB/cell
1.0
6.682 0.112 0.000
5.275 4.103 0.000
-5.978 -2.108 2.115
Fe P Br
1 1 1
Cartesian
3.828 1.349 0.000 Fe
8.622 3.039 0.000 P
11.464 4.041 0.000 Br

Entry 12:
GGA-PBE Fe2PBr, relaxed; energy above the most stable polymorph in this dataset = 64 kJ/mol of formula units; symmetry = Imm2 (44); theoretical density = 5.5 g/cm3; raw formation energy = 28 meV per atom; total magnetization = 4.26 μB/cell
1.0
7.067 0.023 -0.001
5.634 4.265 0.001
-6.350 -2.146 2.239
P Br Fe
1 1 2
Cartesian
6.920 2.336 0.000 P
3.162 2.248 1.120 Br
2.490 -0.342 1.119 Fe
0.129 0.044 0.000 Fe

Which value of theoretical density does entry 6 give?
6.8 g/cm3